The following is a PBE calculation of a relaxed Tm3MgHg3 crystal, from Alexandria via LeMat-Bulk.

## Properties
- Magnetization: 0.00 Bohr magnetons per cell

Lattice parameters (Å, degrees): 5.392 8.828 8.828 120.00 90.00 90.00
Fractional coordinates of all 14 atoms:
Tm1 0.250 0.552 0.902
Mg1 0.250 0.667 0.333
Hg1 0.250 0.269 0.049
Hg2 0.750 0.049 0.781
Hg3 0.250 0.951 0.219
Hg4 0.750 0.219 0.269
Tm2 0.250 0.098 0.651
Tm3 0.750 0.651 0.552
Mg2 0.750 0.333 0.667
Tm4 0.250 0.349 0.448
Hg5 0.750 0.731 0.951
Tm5 0.750 0.902 0.349
Hg6 0.250 0.781 0.731
Tm6 0.750 0.448 0.098

***

The following is a PBE calculation of a relaxed Tm5MgHg6 crystal, from Alexandria via LeMat-Bulk.

## Properties
- Magnetization: 0.00 Bohr magnetons per cell

Lattice parameters (Å, degrees): 5.108 7.343 8.916 114.32 106.65 90.00
Fractional coordinates of all 12 atoms:
Hg1 0.835 0.081 0.671
Hg2 0.500 0.245 0.000
Tm1 0.332 0.332 0.664
Tm2 0.663 0.163 0.326
Hg3 0.165 0.410 0.329
Tm3 0.000 0.500 0.000
Tm4 0.668 0.668 0.336
Hg4 0.500 0.755 0.000
Tm5 0.337 0.837 0.674
Hg5 0.835 0.590 0.671
Mg1 0.000 0.000 0.000
Hg6 0.165 0.919 0.329

***

The following is a PBE calculation of a relaxed Tm5MgHg3 crystal, from Alexandria via LeMat-Bulk.

## Properties
- Magnetization: 0.00 Bohr magnetons per cell

Lattice parameters (Å, degrees): 6.581 8.985 8.984 120.00 90.00 90.00
Fractional coordinates of all 18 atoms:
Hg1 0.750 0.355 0.355
Tm1 0.250 0.688 0.000
Tm2 0.000 0.667 0.333
Mg1 0.000 0.000 0.000
Hg2 0.250 0.000 0.355
Mg2 0.500 0.000 0.000
Tm3 0.000 0.333 0.667
Hg3 0.250 0.355 0.000
Tm4 0.750 0.688 0.688
Hg4 0.750 0.000 0.645
Tm5 0.500 0.333 0.667
Tm6 0.750 0.312 0.000
Hg5 0.750 0.645 0.000
Tm7 0.750 0.000 0.312
Tm8 0.500 0.667 0.333
Hg6 0.250 0.645 0.645
Tm9 0.250 0.312 0.312
Tm10 0.250 0.000 0.688

***

The following is a PBE calculation of a relaxed Tm3MgHg crystal, from Alexandria via LeMat-Bulk.

## Properties
- Magnetization: 0.00 Bohr magnetons per cell
- Polymorph energy (0 for the lowest one): 0.000 eV per formula unit

Lattice parameters (Å, degrees): 5.065 5.061 10.626 90.00 76.21 90.00
Fractional coordinates of all 10 atoms:
Hg1 0.664 0.750 0.320
Tm1 0.763 0.250 0.122
Tm2 0.380 0.250 0.888
Tm3 0.885 0.750 0.878
Tm4 0.573 0.250 0.502
Mg1 0.171 0.250 0.307
Tm5 0.268 0.750 0.112
Tm6 0.075 0.750 0.498
Mg2 0.478 0.750 0.693
Hg2 0.984 0.250 0.680

***

The following is a PBE calculation of a relaxed TmMgHg2 crystal, from Alexandria via LeMat-Bulk.

## Properties
- Magnetization: 0.00 Bohr magnetons per cell
- Polymorph energy (0 for the lowest one): 0.177 eV per formula unit

Lattice parameters (Å, degrees): 3.680 5.019 5.019 90.00 90.00 90.00
Fractional coordinates of all 4 atoms:
Hg1 0.000 0.000 0.500
Mg1 0.500 0.000 0.000
Tm1 0.500 0.500 0.500
Hg2 0.000 0.500 0.000

***

The following is a PBE calculation of a relaxed Tm7MgHg4 crystal, from Alexandria via LeMat-Bulk.

## Properties
- Magnetization: 0.00 Bohr magnetons per cell

Lattice parameters (Å, degrees): 5.646 8.758 7.747 68.37 68.63 71.20
Fractional coordinates of all 12 atoms:
Hg1 0.310 0.338 0.042
Tm1 0.263 0.694 0.781
Hg2 0.459 0.707 0.375
Tm2 0.500 0.000 0.000
Mg1 0.000 0.000 0.000
Tm3 0.071 0.590 0.268
Tm4 0.737 0.306 0.219
Tm5 0.805 0.880 0.511
Tm6 0.195 0.120 0.489
Tm7 0.929 0.410 0.732
Hg3 0.690 0.662 0.958
Hg4 0.541 0.293 0.625

***

The following is a PBE calculation of a relaxed Tm3MgHg5 crystal, from Alexandria via LeMat-Bulk.

## Properties
- Magnetization: 0.00 Bohr magnetons per cell

Lattice parameters (Å, degrees): 6.194 8.929 8.929 120.00 90.00 90.00
Fractional coordinates of all 18 atoms:
Tm1 0.750 0.640 0.000
Mg1 0.000 0.000 0.000
Mg2 0.500 0.000 0.000
Hg1 0.000 0.667 0.333
Tm2 0.250 0.640 0.640
Hg2 0.250 0.700 0.000
Hg3 0.500 0.333 0.667
Hg4 0.250 0.300 0.300
Tm3 0.250 0.360 0.000
Hg5 0.000 0.333 0.667
Tm4 0.750 0.360 0.360
Hg6 0.500 0.667 0.333
Tm5 0.250 0.000 0.360
Hg7 0.750 0.700 0.700
Tm6 0.750 0.000 0.640
Hg8 0.250 0.000 0.700
Hg9 0.750 0.000 0.300
Hg10 0.750 0.300 0.000

***

The following is a PBE calculation of a relaxed TmMg2Hg crystal, from Alexandria via LeMat-Bulk.

## Properties
- Magnetization: 0.00 Bohr magnetons per cell
- Polymorph energy (0 for the lowest one): 0.698 eV per formula unit

Lattice parameters (Å, degrees): 3.437 3.437 10.020 80.12 80.12 60.00
Fractional coordinates of all 4 atoms:
Mg1 0.075 0.075 0.774
Mg2 0.258 0.258 0.225
Hg1 0.667 0.667 0.000
Tm1 0.500 0.500 0.500

***

no.,calculated formation energy (eV per atom)
1,-0.22
2,-0.46
3,-0.32
4,-0.20
5,-0.39
6,-0.12
7,-0.40
8,-0.07